K2PaZnTe5 | GGA-PBE | optimized geometry

Properties
SG = Cmc2_1 (36)
DOS(E_F) = 5.13 states/eV/f.u.
E = -3.94 eV/atom
raw formation energy = -749.4 meV/atom

Unit cell a=4.2964 b=10.9880 c=14.9698 alpha=90.00 beta=90.00 gamma=101.27
Last column: nearest neighbours and their distance in Å.
Positions (direct):
Te: 0.6982 0.3965 0.1596  2 Pa 3.01
Te: 0.3357 0.6715 0.0102  1 Pa 2.93
Te: 0.0592 0.1185 0.0337  2 Zn 2.69
Te: 0.9408 0.8815 0.5337  2 Zn 2.69
Te: 0.6643 0.3285 0.5102  1 Pa 2.93
Te: 0.3037 0.6074 0.3741  1 Zn 2.79, 2 Pa 3.06
Te: 0.3018 0.6035 0.6596  2 Pa 3.01
Te: 0.4932 0.9865 0.2818  1 Zn 2.58
Te: 0.6963 0.3926 0.8741  1 Zn 2.79, 2 Pa 3.06
Te: 0.5068 0.0135 0.7818  1 Zn 2.58
K: 0.1220 0.2441 0.3296  7 Te 3.57-3.97
K: 0.8754 0.7508 0.1892  7 Te 3.54-3.84
K: 0.8780 0.7559 0.8296  7 Te 3.57-3.97
K: 0.1246 0.2492 0.6892  7 Te 3.54-3.84
Pa: 0.8000 0.6000 0.5191  6 Te 2.93-3.06
Pa: 0.2000 0.4000 0.0191  6 Te 2.93-3.06
Zn: 0.5720 0.1440 0.9267  4 Te 2.58-2.79
Zn: 0.4280 0.8560 0.4267  4 Te 2.58-2.79